No. 1
The following is a PBE calculation of a relaxed structure of Na3Dy3BiTe8, from Alexandria.

Cell and atoms, written as extended XYZ:
```
15
Lattice="7.619 -4.384 0.000 7.619 4.384 0.000 -5.091 0.000 7.659" Properties=species:S:1:pos:R:3 pbc="T T T"
Na 0.000 0.000 0.000
Na 3.809 2.192 0.000
Na 3.809 -2.192 0.000
Dy 1.264 2.192 3.829
Dy 1.264 -2.192 3.829
Dy 5.073 0.000 3.829
Bi -2.545 0.000 3.829
Te 0.055 0.000 5.627
Te 3.769 2.136 5.627
Te 2.536 0.000 2.046
Te 6.377 2.136 2.032
Te 3.769 -2.136 5.627
Te 7.610 0.000 5.612
Te 6.377 -2.136 2.032
Te 10.091 0.000 2.031
```

Calculated volume = 34.106 Å³ per atom
E_form (uncorrected) = -1044 meV/atom
Raw total energy = -4.162 eV per atom
Magnetization = 0.0 μB per formula unit
Fermi-level density of states = 0.712 states/eV per atom

=====

No. 2
The following is a PBE calculation of a relaxed structure of Na2DyBiTe4, from Alexandria.

Cell and atoms, written as extended XYZ:
```
8
Lattice="7.784 0.000 0.000 0.000 4.458 0.000 -2.564 0.000 7.597" Properties=species:S:1:pos:R:3 pbc="T T T"
Na 0.000 0.000 0.000
Na 3.892 2.229 0.000
Dy -1.282 2.229 3.798
Bi 2.610 0.000 3.798
Te -0.008 0.000 5.559
Te 1.267 2.229 2.010
Te 3.952 2.229 5.587
Te 5.228 0.000 2.037
```

Calculated volume = 32.952 Å³ per atom
E_form (uncorrected) = -924 meV/atom
Raw total energy = -3.885 eV per atom
Magnetization = 0.0 μB per formula unit

=====

No. 3
The following is a PBE calculation of a relaxed structure of Na3DyBi2Te6, from Alexandria.

Cell and atoms, written as extended XYZ:
```
12
Lattice="3.889 -6.742 0.000 3.889 6.742 0.000 -2.596 0.000 7.597" Properties=species:S:1:pos:R:3 pbc="T T T"
Na 0.000 0.000 0.000
Na 3.889 2.342 0.000
Na 3.889 -2.342 0.000
Dy 2.592 0.000 3.799
Bi 2.592 4.508 3.799
Bi 2.592 -4.508 3.799
Te 1.315 2.217 2.025
Te 0.036 0.000 5.593
Te 1.315 -2.217 2.025
Te 3.868 2.217 5.572
Te 5.147 0.000 2.004
Te 3.868 -2.217 5.572
```

Calculated volume = 33.200 Å³ per atom
E_form (uncorrected) = -797 meV/atom
Raw total energy = -3.728 eV per atom
Magnetization = 0.0 μB per formula unit
Fermi-level density of states = 0.000 states/eV per atom

=====

No. 4
The following is a PBE calculation of a relaxed structure of Na3Dy2BiTe6, from Alexandria.

Cell and atoms, written as extended XYZ:
```
12
Lattice="3.866 -6.697 0.000 3.866 6.697 0.000 -2.579 0.000 7.574" Properties=species:S:1:pos:R:3 pbc="T T T"
Na 0.000 0.000 0.000
Na 3.866 2.160 0.000
Na 3.866 -2.160 0.000
Dy 2.576 4.453 3.787
Dy 2.576 -4.453 3.787
Bi 2.576 0.000 3.787
Te 1.268 2.263 2.017
Te -0.041 0.000 5.541
Te 1.268 -2.263 2.017
Te 3.884 2.263 5.557
Te 5.193 0.000 2.033
Te 3.884 -2.263 5.557
```

Calculated volume = 32.681 Å³ per atom
E_form (uncorrected) = -1054 meV/atom
Raw total energy = -4.045 eV per atom
Magnetization = 0.0 μB per formula unit
Fermi-level density of states = 0.000 states/eV per atom

=====

No. 5
The following is a PBE calculation of a relaxed structure of NaDyTlBi, from Alexandria.

Cell and atoms, written as extended XYZ:
```
4
Lattice="0.000 3.852 3.852 3.852 0.000 3.852 3.852 3.852 0.000" Properties=species:S:1:pos:R:3 pbc="T T T"
Na 0.000 0.000 0.000
Dy 3.852 3.852 3.852
Tl 1.926 1.926 1.926
Bi 5.779 5.779 5.779
```

Calculated volume = 28.587 Å³ per atom
Formation enthalpy at 0 K = -290 meV per atom
Raw total energy = -3.332 eV per atom
Magnetization = 0.0 μB per formula unit
Fermi-level density of states = 0.744 states/eV per atom

=====

No. 6
The following is a PBE calculation of a relaxed structure of DyNbBi2, from Alexandria.

Cell and atoms, written as extended XYZ:
```
4
Lattice="1.772 1.023 10.620 -1.772 1.023 10.620 0.000 -2.046 10.620" Properties=species:S:1:pos:R:3 pbc="T T T"
Dy 0.000 0.000 0.000
Nb 0.000 0.000 15.929
Bi 0.000 0.000 3.192
Bi 0.000 0.000 28.667
```

Calculated volume = 28.874 Å³ per atom
Formation enthalpy at 0 K = 152 meV per atom
Raw total energy = -5.456 eV per atom
Magnetization = 0.0 μB per formula unit
Fermi-level density of states = 0.851 states/eV per atom

=====

No. 7
The following is a PBE calculation of a relaxed structure of DyNbBi, from Alexandria.

Cell and atoms, written as extended XYZ:
```
6
Lattice="3.508 0.000 0.000 0.000 3.508 0.000 0.000 0.000 13.236" Properties=species:S:1:pos:R:3 pbc="T T T"
Dy 0.877 0.877 2.696
Dy 2.631 2.631 10.540
Nb 0.877 0.877 12.621
Nb 2.631 2.631 0.615
Bi 0.877 0.877 8.232
Bi 2.631 2.631 5.004
```

Calculated volume = 27.140 Å³ per atom
Formation enthalpy at 0 K = -115 meV per atom
Raw total energy = -6.299 eV per atom
Magnetization = 0.0 μB per formula unit
Fermi-level density of states = 0.897 states/eV per atom

=====

No. 8
The following is a PBE calculation of a relaxed structure of NdDy2Bi2, from Alexandria.

Cell and atoms, written as extended XYZ:
```
5
Lattice="3.220 -3.230 0.000 3.220 3.230 0.000 -3.191 0.000 7.624" Properties=species:S:1:pos:R:3 pbc="T T T"
Nd 0.000 0.000 0.000
Dy 1.624 1.612 3.812
Dy 1.624 -1.612 3.812
Bi 0.013 0.000 6.040
Bi 3.236 0.000 1.584
```

Calculated volume = 31.718 Å³ per atom
Formation enthalpy at 0 K = -471 meV per atom
Raw total energy = -4.818 eV per atom
Magnetization = 0.0 μB per formula unit
Fermi-level density of states = 0.914 states/eV per atom

=====

No. 9
The following is a PBE calculation of a relaxed structure of Nd4DyBi5, from Alexandria.

Cell and atoms, written as extended XYZ:
```
10
Lattice="-2.293 2.293 16.193 2.293 -2.293 16.193 2.293 2.293 -16.193" Properties=species:S:1:pos:R:3 pbc="T T T"
Nd 0.000 0.000 3.225
Nd 0.000 0.000 9.740
Nd 0.000 0.000 22.645
Nd 0.000 0.000 29.161
Dy 0.000 0.000 16.193
Bi 0.000 0.000 0.000
Bi 0.000 0.000 6.478
Bi 0.000 0.000 13.012
Bi 0.000 0.000 19.374
Bi 0.000 0.000 25.907
```

Calculated volume = 34.052 Å³ per atom
Formation enthalpy at 0 K = -928 meV per atom
Raw total energy = -5.236 eV per atom
Magnetization = 0.0 μB per formula unit
Fermi-level density of states = 0.119 states/eV per atom

=====

No. 10
The following is a PBE calculation of a relaxed structure of NdDy4Bi3, from Alexandria.

Cell and atoms, written as extended XYZ:
```
8
Lattice="-2.019 4.353 7.229 2.019 -4.353 7.229 2.019 4.353 -7.229" Properties=species:S:1:pos:R:3 pbc="T T T"
Nd 0.000 0.000 0.000
Dy 2.019 -1.768 5.318
Dy 0.000 2.586 1.911
Dy 2.019 1.768 5.318
Dy 0.000 6.121 1.911
Bi 2.019 0.000 2.635
Bi 0.000 0.000 7.229
Bi 0.000 4.353 4.594
```

Calculated volume = 31.772 Å³ per atom
Formation enthalpy at 0 K = -395 meV per atom
Raw total energy = -4.748 eV per atom
Magnetization = 0.1 μB per formula unit
Fermi-level density of states = 1.201 states/eV per atom

=====

No. 11
The following is a PBE calculation of a relaxed structure of Nd2Dy3Bi2, from Alexandria.

Cell and atoms, written as extended XYZ:
```
7
Lattice="6.212 -2.181 0.000 6.212 2.181 0.000 -2.936 0.000 8.313" Properties=species:S:1:pos:R:3 pbc="T T T"
Nd 0.764 0.000 2.369
Nd 8.724 0.000 5.944
Dy 4.512 0.000 0.435
Dy 4.744 0.000 4.156
Dy 4.976 0.000 7.877
Bi 0.069 0.000 5.810
Bi 9.418 0.000 2.502
```

Calculated volume = 32.183 Å³ per atom
Formation enthalpy at 0 K = -480 meV per atom
Raw total energy = -4.923 eV per atom
Magnetization = 0.0 μB per formula unit
Fermi-level density of states = 1.212 states/eV per atom

=====

No. 12
The following is a PBE calculation of a relaxed structure of Nd3DyBi2, from Alexandria.

Cell and atoms, written as extended XYZ:
```
6
Lattice="4.646 0.000 0.000 0.000 4.646 0.000 0.000 0.000 8.955" Properties=species:S:1:pos:R:3 pbc="T T T"
Nd 0.000 0.000 0.000
Nd 0.000 2.323 5.807
Nd 2.323 0.000 3.148
Dy 2.323 2.323 0.000
Bi 0.000 2.323 2.494
Bi 2.323 0.000 6.461
```

Calculated volume = 32.218 Å³ per atom
Energy relative to the lowest polymorph listed for this composition = 0 meV/atom
Formation enthalpy at 0 K = -649 meV per atom
Raw total energy = -5.094 eV per atom
Magnetization = 0.0 μB per formula unit
Fermi-level density of states = 0.877 states/eV per atom

=====

No. 13
The following is a PBE calculation of a relaxed structure of NdDyBi2, from Alexandria.

Cell and atoms, written as extended XYZ:
```
4
Lattice="3.838 0.000 0.000 0.000 3.838 0.000 0.000 0.000 8.251" Properties=species:S:1:pos:R:3 pbc="T T T"
Nd 0.000 0.000 0.000
Dy 0.000 0.000 4.126
Bi 1.919 1.919 2.138
Bi 1.919 1.919 6.114
```

Calculated volume = 30.388 Å³ per atom
Energy relative to the lowest polymorph listed for this composition = 262 meV/atom
Formation enthalpy at 0 K = -640 meV per atom
Raw total energy = -4.923 eV per atom
Magnetization = 0.0 μB per formula unit
Fermi-level density of states = 1.054 states/eV per atom

=====

No. 14
The following is a PBE calculation of a relaxed structure of NdDy2Bi3, from Alexandria.

Cell and atoms, written as extended XYZ:
```
6
Lattice="-2.261 3.198 6.781 2.261 -3.198 6.781 2.261 3.198 -6.781" Properties=species:S:1:pos:R:3 pbc="T T T"
Nd 0.000 0.000 0.000
Dy 0.000 0.000 4.541
Dy 0.000 0.000 9.021
Bi 2.261 0.000 2.326
Bi 0.000 3.198 0.000
Bi 0.000 3.198 4.455
```

Calculated volume = 32.688 Å³ per atom
Formation enthalpy at 0 K = -884 meV per atom
Raw total energy = -5.153 eV per atom
Magnetization = 0.0 μB per formula unit
Fermi-level density of states = 0.218 states/eV per atom

=====

No. 15
The following is a PBE calculation of a relaxed structure of Nd2DyBi, from Alexandria.

Cell and atoms, written as extended XYZ:
```
4
Lattice="1.794 1.035 12.385 -1.794 1.035 12.385 0.000 -2.071 12.385" Properties=species:S:1:pos:R:3 pbc="T T T"
Nd 0.000 0.000 3.253
Nd 0.000 0.000 33.901
Dy 0.000 0.000 18.577
Bi 0.000 0.000 0.000
```

Calculated volume = 34.501 Å³ per atom
Energy relative to the lowest polymorph listed for this composition = 407 meV/atom
Formation enthalpy at 0 K = 7 meV per atom
Raw total energy = -4.498 eV per atom
Magnetization = 0.0 μB per formula unit
Fermi-level density of states = 1.339 states/eV per atom

=====

No. 16
The following is a PBE calculation of a relaxed structure of Nd2DyBi, from Alexandria.

Cell and atoms, written as extended XYZ:
```
4
Lattice="4.323 0.000 0.000 0.000 4.323 0.000 0.000 0.000 6.879" Properties=species:S:1:pos:R:3 pbc="T T T"
Nd 0.000 0.000 1.632
Nd 0.000 0.000 5.247
Dy 2.162 2.162 3.439
Bi 2.162 2.162 0.000
```

Calculated volume = 32.143 Å³ per atom
Energy relative to the lowest polymorph listed for this composition = 15 meV/atom
Formation enthalpy at 0 K = -386 meV per atom
Raw total energy = -4.891 eV per atom
Magnetization = 0.0 μB per formula unit
Fermi-level density of states = 1.081 states/eV per atom

=====

No. 17
The following is a PBE calculation of a relaxed structure of NdDy3Bi4, from Alexandria.

Cell and atoms, written as extended XYZ:
```
8
Lattice="6.376 0.000 0.000 0.000 6.376 0.000 0.000 0.000 6.376" Properties=species:S:1:pos:R:3 pbc="T T T"
Nd 0.000 0.000 0.000
Dy 0.000 3.188 3.188
Dy 3.188 0.000 3.188
Dy 3.188 3.188 0.000
Bi 0.000 0.000 3.188
Bi 0.000 3.188 0.000
Bi 3.188 0.000 0.000
Bi 3.188 3.188 3.188
```

Calculated volume = 32.405 Å³ per atom
Formation enthalpy at 0 K = -879 meV per atom
Raw total energy = -5.141 eV per atom
Magnetization = 0.0 μB per formula unit
Fermi-level density of states = 0.058 states/eV per atom

=====

No. 18
The following is a PBE calculation of a relaxed structure of Nd4DyBi5, from Alexandria.

Cell and atoms, written as extended XYZ:
```
10
Lattice="-2.293 3.241 11.449 2.293 -3.241 11.449 2.293 3.241 -11.449" Properties=species:S:1:pos:R:3 pbc="T T T"
Nd 0.000 0.000 2.287
Nd 0.000 0.000 6.904
Nd 0.000 0.000 15.993
Nd 0.000 0.000 20.610
Dy 0.000 0.000 11.449
Bi 2.293 0.000 0.000
Bi 2.293 0.000 4.592
Bi 2.293 0.000 9.232
Bi 0.000 3.241 2.216
Bi 0.000 3.241 6.856
```

Calculated volume = 34.028 Å³ per atom
Formation enthalpy at 0 K = -929 meV per atom
Raw total energy = -5.237 eV per atom
Magnetization = 0.0 μB per formula unit
Fermi-level density of states = 0.198 states/eV per atom

=====

No. 19
The following is a PBE calculation of a relaxed structure of Nd3DyBi4, from Alexandria.

Cell and atoms, written as extended XYZ:
```
8
Lattice="4.576 -6.473 0.000 4.576 6.473 0.000 0.000 0.000 4.580" Properties=species:S:1:pos:R:3 pbc="T T T"
Nd 0.000 0.000 0.000
Nd 2.288 3.236 2.290
Nd 2.288 -3.236 2.290
Dy 4.576 0.000 0.000
Bi 4.576 3.198 0.000
Bi 2.341 0.000 2.290
Bi 6.811 0.000 2.290
Bi 4.576 -3.198 0.000
```

Calculated volume = 33.915 Å³ per atom
Formation enthalpy at 0 K = -923 meV per atom
Raw total energy = -5.227 eV per atom
Magnetization = 0.0 μB per formula unit
Fermi-level density of states = 0.148 states/eV per atom

=====

No. 20
The following is a PBE calculation of a relaxed structure of NdDy3Bi2, from Alexandria.

Cell and atoms, written as extended XYZ:
```
12
Lattice="9.414 -2.193 0.000 9.414 2.193 0.000 -4.005 0.000 9.128" Properties=species:S:1:pos:R:3 pbc="T T T"
Nd 1.625 0.000 1.077
Nd 13.198 0.000 8.050
Dy -1.605 0.000 6.125
Dy 5.430 0.000 1.007
Dy 4.691 0.000 4.773
Dy 10.132 0.000 4.355
Dy 9.393 0.000 8.121
Dy 16.429 0.000 3.003
Bi 1.809 0.000 6.495
Bi 8.578 0.000 1.436
Bi 6.245 0.000 7.692
Bi 13.015 0.000 2.633
```

Calculated volume = 31.414 Å³ per atom
Formation enthalpy at 0 K = -507 meV per atom
Raw total energy = -4.896 eV per atom
Magnetization = 0.0 μB per formula unit
Fermi-level density of states = 1.095 states/eV per atom